No. 1
# Ge2AsPd, optimized geometry, DFT PBE-GGA
data_Ge2AsPd
_chemical_formula_sum 'Ge6 As3 Pd3'
_cell_length_a 2.9740
_cell_length_b 2.9740
_cell_length_c 28.5527
_cell_angle_alpha 90.00
_cell_angle_beta 90.00
_cell_angle_gamma 120.00
_symmetry_space_group_name_H-M 'R -3 m'
_symmetry_Int_Tables_number 166
_symmetry_space_group_name_Hall '-R 3 2"'
loop_
_atom_site_label
_atom_site_type_symbol
_atom_site_fract_x
_atom_site_fract_y
_atom_site_fract_z
Ge1 Ge 0.0000 0.0000 0.0951
As1 As 0.0000 0.0000 0.0000
Pd1 Pd 0.0000 0.0000 0.5000
# Formation enthalpy at 0 K, kJ/mol of formula units: 6.5
# Calculated volume, Å³/atom: 18.22

No. 2
# Tl2ReCl, optimized geometry, DFT PBE-GGA
data_Tl2ReCl
_chemical_formula_sum 'Tl4 Re2 Cl2'
_cell_length_a 3.069
_cell_length_b 4.735
_cell_length_c 14.797
_cell_angle_alpha 90.00
_cell_angle_beta 90.00
_cell_angle_gamma 90.00
_symmetry_space_group_name_H-M 'I m m 2'
_symmetry_Int_Tables_number 44
loop_
_symmetry_equiv_pos_as_xyz
'x,y,z'
'-x,-y,z'
'-x,y,z'
'x,-y,z'
'x+1/2,y+1/2,z+1/2'
'-x+1/2,-y+1/2,z+1/2'
'-x+1/2,y+1/2,z+1/2'
'x+1/2,-y+1/2,z+1/2'
loop_
_atom_site_label
_atom_site_type_symbol
_atom_site_fract_x
_atom_site_fract_y
_atom_site_fract_z
Tl1 Tl 0.000 0.000 0.000
Tl2 Tl 0.000 0.500 0.168
Re1 Re 0.000 0.500 0.696
Cl1 Cl 0.000 0.000 0.322
# E_form (uncorrected), eV/atom: 0.50
# Calculated volume, Å³/atom: 26.88

No. 3
# Pu12TcGe6, optimized geometry, DFT PBE-GGA
data_Pu12TcGe6
_chemical_formula_sum 'Pu36 Tc3 Ge18'
_cell_length_a 10.7500
_cell_length_b 10.7500
_cell_length_c 11.9315
_cell_angle_alpha 90.00
_cell_angle_beta 90.00
_cell_angle_gamma 120.00
_symmetry_space_group_name_H-M 'R -3'
_symmetry_Int_Tables_number 148
_symmetry_space_group_name_Hall '-R 3'
loop_
_atom_site_label
_atom_site_type_symbol
_atom_site_fract_x
_atom_site_fract_y
_atom_site_fract_z
Pu1 Pu 0.0461 0.8629 0.2978
Pu2 Pu 0.0620 0.2231 0.9011
Tc1 Tc 0.0000 0.0000 0.5000
Ge1 Ge 0.0453 0.5938 0.2118
# Formation enthalpy at 0 K, kJ/mol of formula units: -412.8
# Calculated volume, Å³/atom: 20.95

No. 4
# TlInAs, optimized geometry, DFT PBE-GGA
data_TlInAs
_chemical_formula_sum 'Tl4 In4 As4'
_cell_length_a 7.115
_cell_length_b 7.115
_cell_length_c 7.115
_cell_angle_alpha 90.00
_cell_angle_beta 90.00
_cell_angle_gamma 90.00
_symmetry_space_group_name_H-M 'F -4 3 m'
_symmetry_Int_Tables_number 216
_symmetry_space_group_name_Hall 'F -4 2 3'
loop_
_atom_site_label
_atom_site_type_symbol
_atom_site_fract_x
_atom_site_fract_y
_atom_site_fract_z
Tl1 Tl 0.000 0.000 0.000
In1 In 0.000 0.000 0.500
As1 As 0.250 0.250 0.750
# Formation enthalpy at 0 K, kJ/mol of formula units: 17.7
# Calculated volume, Å³/atom: 30.01

No. 5
# La3Pt3Au2, optimized geometry, DFT PBE-GGA
data_La3Pt3Au2
_chemical_formula_sum 'La6 Pt6 Au4'
_cell_length_a 8.9094
_cell_length_b 8.9094
_cell_length_c 5.8975
_cell_angle_alpha 90.00
_cell_angle_beta 90.00
_cell_angle_gamma 120.00
_symmetry_space_group_name_H-M 'P 63/m c m'
_symmetry_Int_Tables_number 193
_symmetry_space_group_name_Hall '-P 6c 2'
loop_
_atom_site_label
_atom_site_type_symbol
_atom_site_fract_x
_atom_site_fract_y
_atom_site_fract_z
La1 La 0.0000 0.3209 0.2500
Pt1 Pt 0.0000 0.3459 0.7500
Au1 Au 0.3333 0.6667 0.0000
# Formation enthalpy at 0 K, kJ/mol of formula units: -717.9
# Calculated volume, Å³/atom: 25.34

No. 6
# CrTeW2, optimized geometry, DFT PBE-GGA
data_CrTeW2
_chemical_formula_sum 'Cr3 Te3 W6'
_cell_length_a 3.0552
_cell_length_b 3.0552
_cell_length_c 25.1800
_cell_angle_alpha 90.00
_cell_angle_beta 90.00
_cell_angle_gamma 120.00
_symmetry_space_group_name_H-M 'R -3 m'
_symmetry_Int_Tables_number 166
_symmetry_space_group_name_Hall '-R 3 2"'
loop_
_atom_site_label
_atom_site_type_symbol
_atom_site_fract_x
_atom_site_fract_y
_atom_site_fract_z
Cr1 Cr 0.0000 0.0000 0.0000
Te1 Te 0.0000 0.0000 0.5000
W1 W 0.0000 0.0000 0.2589
# E_form (uncorrected), eV/atom: 0.74
# Calculated volume, Å³/atom: 16.96

No. 7
# CaAc2ZrO6, optimized geometry, DFT PBE-GGA
data_CaAc2ZrO6
_chemical_formula_sum 'Ca2 Ac4 Zr2 O12'
_cell_length_a 5.961
_cell_length_b 6.149
_cell_length_c 10.408
_cell_angle_alpha 90.00
_cell_angle_beta 124.85
_cell_angle_gamma 90.00
_symmetry_space_group_name_H-M 'P 1 21/c 1'
_symmetry_Int_Tables_number 14
loop_
_symmetry_equiv_pos_as_xyz
'x,y,z'
'-x,-y,-z'
'-x,y+1/2,-z+1/2'
'x,-y+1/2,z+1/2'
loop_
_atom_site_label
_atom_site_type_symbol
_atom_site_fract_x
_atom_site_fract_y
_atom_site_fract_z
Ca1 Ca 0.000 0.000 0.000
Ac1 Ac 0.234 0.049 0.748
Zr1 Zr 0.500 0.000 0.500
O1 O 0.158 0.188 0.446
O2 O 0.249 0.715 0.436
O3 O 0.374 0.047 0.264
# E_form (uncorrected), eV/atom: -3.32
# Calculated volume, Å³/atom: 15.65

No. 8
# CrRuRh2, optimized geometry, DFT PBE-GGA
data_CrRuRh2
_chemical_formula_sum 'Cr2 Ru2 Rh4'
_cell_length_a 3.773
_cell_length_b 3.773
_cell_length_c 7.641
_cell_angle_alpha 90.00
_cell_angle_beta 90.00
_cell_angle_gamma 90.00
_symmetry_space_group_name_H-M 'I 4/m m m'
_symmetry_Int_Tables_number 139
_symmetry_space_group_name_Hall '-I 4 2'
loop_
_atom_site_label
_atom_site_type_symbol
_atom_site_fract_x
_atom_site_fract_y
_atom_site_fract_z
Cr1 Cr 0.000 0.000 0.000
Ru1 Ru 0.000 0.000 0.500
Rh1 Rh 0.000 0.500 0.250
# Formation enthalpy at 0 K, kJ/mol of formula units: -12.0
# Calculated volume, Å³/atom: 13.59